# Nd2Zn4CdGa3 | Alexandria | PBE | relaxed
data_Nd2Zn4CdGa3
_chemical_formula_sum 'Nd2 Zn4 Cd1 Ga3'
_symmetry_space_group_name_H-M 'P -4 m 2'
_symmetry_Int_Tables_number 115
_cell_length_a 4.290
_cell_length_b 4.290
_cell_length_c 10.831
_cell_angle_alpha 90.00
_cell_angle_beta 90.00
_cell_angle_gamma 90.00
loop_
_symmetry_equiv_pos_as_xyz
'x,y,z'
'y,-x,-z'
'-x,-y,z'
'-y,x,-z'
'-x,y,z'
'-y,-x,-z'
'x,-y,z'
'y,x,-z'
loop_
_atom_site_label
_atom_site_type_symbol
_atom_site_fract_x
_atom_site_fract_y
_atom_site_fract_z
Nd1 Nd 0.000 0.500 0.239
Zn1 Zn 0.000 0.000 0.000
Zn2 Zn 0.000 0.500 0.644
Zn3 Zn 0.500 0.500 0.000
Cd1 Cd 0.000 0.000 0.500
Ga1 Ga 0.000 0.500 0.869
Ga2 Ga 0.500 0.500 0.500
# raw total energy	-2.891	eV per atom

***

# Cd2Ga2Ni | Alexandria | PBE | relaxed
data_Cd2Ga2Ni
_chemical_formula_sum 'Cd4 Ga4 Ni2'
_symmetry_space_group_name_H-M 'P 4/m b m'
_symmetry_Int_Tables_number 127
_symmetry_space_group_name_Hall '-P 4 2ab'
_cell_length_a 6.921
_cell_length_b 6.921
_cell_length_c 4.164
_cell_angle_alpha 90.00
_cell_angle_beta 90.00
_cell_angle_gamma 90.00
loop_
_atom_site_label
_atom_site_type_symbol
_atom_site_fract_x
_atom_site_fract_y
_atom_site_fract_z
Cd1 Cd 0.152 0.348 0.000
Ga1 Ga 0.161 0.661 0.500
Ni1 Ni 0.000 0.000 0.000
# raw total energy	-2.427	eV per atom
# polymorph energy (0 for the lowest one)	233.9	meV/atom

***

# CdGa2Ni2 | Alexandria | PBE | relaxed
data_CdGa2Ni2
_chemical_formula_sum 'Cd2 Ga4 Ni4'
_symmetry_space_group_name_H-M 'I 4/m m m'
_symmetry_Int_Tables_number 139
_symmetry_space_group_name_Hall '-I 4 2'
_cell_length_a 3.693
_cell_length_b 3.693
_cell_length_c 11.369
_cell_angle_alpha 90.00
_cell_angle_beta 90.00
_cell_angle_gamma 90.00
loop_
_atom_site_label
_atom_site_type_symbol
_atom_site_fract_x
_atom_site_fract_y
_atom_site_fract_z
Cd1 Cd 0.000 0.000 0.000
Ga1 Ga 0.000 0.500 0.250
Ni1 Ni 0.000 0.000 0.394
# raw total energy	-3.822	eV per atom
# polymorph energy (0 for the lowest one)	105.3	meV/atom

***

# CdGa2Ni2 | Alexandria | PBE | relaxed
data_CdGa2Ni2
_chemical_formula_sum 'Cd2 Ga4 Ni4'
_symmetry_space_group_name_H-M 'P 4/m b m'
_symmetry_Int_Tables_number 127
_symmetry_space_group_name_Hall '-P 4 2ab'
_cell_length_a 6.995
_cell_length_b 6.995
_cell_length_c 2.955
_cell_angle_alpha 90.00
_cell_angle_beta 90.00
_cell_angle_gamma 90.00
loop_
_atom_site_label
_atom_site_type_symbol
_atom_site_fract_x
_atom_site_fract_y
_atom_site_fract_z
Cd1 Cd 0.000 0.000 0.000
Ga1 Ga 0.152 0.348 0.500
Ni1 Ni 0.141 0.641 0.000
# raw total energy	-3.927	eV per atom
# polymorph energy (0 for the lowest one)	0.0	meV/atom

***

What energy of formation from the pure elements values result from the calculations? In sequence: -0.428 0.306 -0.116 -0.221 eV/atom.